# 1
{
  "formula": "KSr4Zr",
  "functional": "GGA-PBE",
  "state": "relaxed",
  "lattice": [[0.0000, 5.3366, 5.3366], [5.3366, 0.0000, 5.3366], [5.3366, 5.3366, 0.0000]],
  "species": ["K", "Sr", "Sr", "Sr", "Sr", "Zr"],
  "fractional_positions": [[0.0000, 0.0000, 0.0000], [0.1288, 0.6237, 0.6237], [0.6237, 0.1288, 0.6237], [0.6237, 0.6237, 0.1288], [0.6237, 0.6237, 0.6237], [0.2500, 0.2500, 0.2500]],
  "sg": "F-43m, No. 216",
  "ef_kj_per_mol_fu": 398,
  "magmom_total_mub_per_fu": 2.97
}



# 2
{
  "formula": "KSr2Zr",
  "functional": "GGA-PBE",
  "state": "relaxed",
  "lattice": [[1.9166, 1.1065, 13.4041], [-1.9166, 1.1065, 13.4041], [0.0000, -2.2131, 13.4041]],
  "species": ["K", "Sr", "Sr", "Zr"],
  "fractional_positions": [[0.0000, 0.0000, 0.0000], [0.2353, 0.2353, 0.2353], [0.7647, 0.7647, 0.7647], [0.5000, 0.5000, 0.5000]],
  "sg": "R-3m, No. 166",
  "ef_kj_per_mol_fu": 177,
  "magmom_total_mub_per_fu": 0.00,
  "relative_energy_ev_per_fu": 0.16
}



# 3
{
  "formula": "KSr2Zr",
  "functional": "GGA-PBE",
  "state": "relaxed",
  "lattice": [[2.1401, -2.9942, 0.0000], [2.1401, 2.9942, 0.0000], [0.0000, 0.0000, 13.4371]],
  "species": ["K", "Sr", "Sr", "Zr"],
  "fractional_positions": [[0.0000, 0.0000, 0.0000], [0.0000, 0.0000, 0.5562], [0.5000, 0.5000, 0.2904], [0.5000, 0.5000, 0.7605]],
  "sg": "Cmm2, No. 35",
  "ef_kj_per_mol_fu": 223,
  "magmom_total_mub_per_fu": 1.61,
  "relative_energy_ev_per_fu": 0.64
}



# 4
{
  "formula": "K2SrZr",
  "functional": "GGA-PBE",
  "state": "relaxed",
  "lattice": [[3.6947, 0.0000, 0.0000], [0.0000, 7.1323, 0.0000], [-0.3512, 0.0000, 6.7813]],
  "species": ["K", "K", "Sr", "Zr"],
  "fractional_positions": [[0.2492, 0.0000, 0.2345], [0.7508, 0.0000, 0.7655], [0.0000, 0.5000, 0.5000], [0.5000, 0.5000, 0.0000]],
  "sg": "P2/m, No. 10",
  "ef_kj_per_mol_fu": 285,
  "magmom_total_mub_per_fu": 2.94,
  "relative_energy_ev_per_fu": 0.70
}



# 5
{
  "formula": "KSr2Zr",
  "functional": "GGA-PBE",
  "state": "relaxed",
  "lattice": [[4.0490, 0.0000, 0.0000], [0.0000, 6.3879, 0.0000], [0.0000, 0.0000, 6.7659]],
  "species": ["K", "Sr", "Sr", "Zr"],
  "fractional_positions": [[0.0000, 0.0000, 0.0000], [0.0000, 0.5000, 0.5000], [0.5000, 0.5000, 0.0000], [0.5000, 0.0000, 0.5000]],
  "sg": "Pmmm, No. 47",
  "ef_kj_per_mol_fu": 291,
  "magmom_total_mub_per_fu": 2.36,
  "relative_energy_ev_per_fu": 1.35
}



# 6
{
  "formula": "KSrZr3",
  "functional": "GGA-PBE",
  "state": "relaxed",
  "lattice": [[5.3223, 0.0000, 0.0000], [0.0000, 5.3223, 0.0000], [0.0000, 0.0000, 5.3223]],
  "species": ["K", "Sr", "Zr", "Zr", "Zr"],
  "fractional_positions": [[0.0000, 0.0000, 0.0000], [0.5000, 0.5000, 0.5000], [0.0000, 0.0000, 0.5000], [0.0000, 0.5000, 0.0000], [0.5000, 0.0000, 0.0000]],
  "sg": "Pm-3m, No. 221",
  "ef_kj_per_mol_fu": 830,
  "magmom_total_mub_per_fu": 3.01,
  "relative_energy_ev_per_fu": 0.00
}



# 7
{
  "formula": "K2SrZr",
  "functional": "GGA-PBE",
  "state": "relaxed",
  "lattice": [[6.6743, 0.0000, 0.0000], [0.0000, 6.6743, 0.0000], [0.0000, 0.0000, 4.1916]],
  "species": ["K", "K", "Sr", "Zr"],
  "fractional_positions": [[0.0000, 0.5000, 0.0000], [0.5000, 0.0000, 0.0000], [0.0000, 0.0000, 0.5000], [0.5000, 0.5000, 0.5000]],
  "sg": "P4/mmm, No. 123",
  "ef_kj_per_mol_fu": 371,
  "magmom_total_mub_per_fu": 2.94,
  "relative_energy_ev_per_fu": 1.60
}



# 8
{
  "formula": "K2SrZr",
  "functional": "GGA-PBE",
  "state": "relaxed",
  "lattice": [[3.5435, 0.0000, 0.0000], [0.0000, 6.8801, 0.0000], [0.0000, 0.0000, 7.3179]],
  "species": ["K", "K", "Sr", "Zr"],
  "fractional_positions": [[0.0000, 0.0000, 0.2326], [0.0000, 0.0000, 0.7674], [0.5000, 0.5000, 0.5000], [0.5000, 0.5000, 0.0000]],
  "sg": "Pmmm, No. 47",
  "ef_kj_per_mol_fu": 307,
  "magmom_total_mub_per_fu": 2.23,
  "relative_energy_ev_per_fu": 0.93
}



# 9
{
  "formula": "KSr2Zr",
  "functional": "GGA-PBE",
  "state": "relaxed",
  "lattice": [[3.7864, 0.0000, 0.0000], [0.0000, 5.9191, 0.0000], [0.0000, 0.0000, 7.8429]],
  "species": ["K", "Sr", "Sr", "Zr"],
  "fractional_positions": [[0.0000, 0.0000, 0.0000], [0.0000, 0.0000, 0.5456], [0.5000, 0.5000, 0.2703], [0.5000, 0.5000, 0.7281]],
  "sg": "Pmm2, No. 25",
  "ef_kj_per_mol_fu": 252,
  "magmom_total_mub_per_fu": 2.41,
  "relative_energy_ev_per_fu": 0.94
}



# 10
{
  "formula": "K2SrZr",
  "functional": "GGA-PBE",
  "state": "relaxed",
  "lattice": [[5.2737, 0.0000, 0.0000], [0.0000, 5.2737, 0.0000], [0.0000, 0.0000, 6.7567]],
  "species": ["K", "K", "Sr", "Zr"],
  "fractional_positions": [[0.0000, 0.5000, 0.0000], [0.5000, 0.0000, 0.0000], [0.0000, 0.0000, 0.5000], [0.5000, 0.5000, 0.5000]],
  "sg": "P4/mmm, No. 123",
  "ef_kj_per_mol_fu": 326,
  "magmom_total_mub_per_fu": 3.27,
  "relative_energy_ev_per_fu": 1.13
}



# 11
{
  "formula": "KSrZr4",
  "functional": "GGA-PBE",
  "state": "relaxed",
  "lattice": [[0.0000, 4.5080, 4.5080], [4.5080, 0.0000, 4.5080], [4.5080, 4.5080, 0.0000]],
  "species": ["K", "Sr", "Zr", "Zr", "Zr", "Zr"],
  "fractional_positions": [[0.0000, 0.0000, 0.0000], [0.7500, 0.7500, 0.7500], [0.3816, 0.3816, 0.3816], [0.3816, 0.3816, 0.8552], [0.3816, 0.8552, 0.3816], [0.8552, 0.3816, 0.3816]],
  "sg": "F-43m, No. 216",
  "ef_kj_per_mol_fu": 417,
  "magmom_total_mub_per_fu": 0.00
}



# 12
{
  "formula": "KSr2Zr",
  "functional": "GGA-PBE",
  "state": "relaxed",
  "lattice": [[0.0000, 4.4517, 4.4517], [4.4517, 0.0000, 4.4517], [4.4517, 4.4517, 0.0000]],
  "species": ["K", "Sr", "Sr", "Zr"],
  "fractional_positions": [[0.0000, 0.0000, 0.0000], [0.2500, 0.2500, 0.2500], [0.7500, 0.7500, 0.7500], [0.5000, 0.5000, 0.5000]],
  "sg": "Fm-3m, No. 225",
  "ef_kj_per_mol_fu": 265,
  "magmom_total_mub_per_fu": 3.07,
  "relative_energy_ev_per_fu": 1.08
}